Fe2Pb3WO9: relaxed, GGA+U.

abc: 5.6942 5.6942 6.9892
angles: 90.00 90.00 120.00
With the nearest neighbours (Å) after each atom.
Fractional positions:
1 Fe 0.3333 0.6667 0.3267  6 O 2.04-2.05
2 Fe 0.6667 0.3333 0.6733  6 O 2.04-2.05
3 Pb 0.0000 0.0000 0.5000  12 O 2.84-2.85
4 Pb 0.3333 0.6667 0.7804  3 O 2.56
5 Pb 0.6667 0.3333 0.2196  3 O 2.56
6 W 0.0000 0.0000 0.0000  6 O 1.95
7 O 0.0000 0.5000 0.5000  2 Fe 2.04
8 O 0.1608 0.3216 0.1635  1 W 1.95, 1 Fe 2.05
9 O 0.1608 0.8392 0.1635  1 W 1.95, 1 Fe 2.05
10 O 0.3216 0.1608 0.8365  1 W 1.95, 1 Fe 2.05
11 O 0.5000 0.0000 0.5000  2 Fe 2.04
12 O 0.5000 0.5000 0.5000  2 Fe 2.04
13 O 0.6784 0.8392 0.1635  1 W 1.95, 1 Fe 2.05
14 O 0.8392 0.1608 0.8365  1 W 1.95, 1 Fe 2.05
15 O 0.8392 0.6784 0.8365  1 W 1.95, 1 Fe 2.05

Summary:
SG = P-3m1 (164)
electronic total energy = -96.4 eV for the cell shown